Entry from the Alexandria database: a relaxed Ac2ZnCd4Ag3 crystal (PBE-GGA).

Calculated values
formation energy = -0.230 eV per atom
E = -2.400 eV/atom

Cell: 4.500 4.500 12.532 Å, 90.00 90.00 90.00°
Space group P-4m2 (No. 115)
Unique sites:
Ac 0.000 0.500 0.249 [2 per cell]
Zn 0.500 0.500 0.000 [1 per cell]
Cd 0.000 0.000 0.500 [1 per cell]
Cd 0.000 0.500 0.868 [2 per cell]
Cd 0.500 0.500 0.500 [1 per cell]
Ag 0.000 0.000 0.000 [1 per cell]
Ag 0.000 0.500 0.645 [2 per cell]